## BaCrFe (PBE)

Data for an optimized crystal structure of BaCrFe.

Computed properties:
Space-group type = F-43m, No. 216
Calculated volume = 28.0 A^3/atom
Spin magnetization = 1.98 μB/f.u.
Density = 4.8 g/cm3
Energy relative to the lowest polymorph listed for this composition = 439 meV/atom

Lattice parameters (Å, degrees): 4.916 4.916 4.916 60.00 60.00 60.00
Atoms (fractional coordinates):
Ba: 0.000 0.000 0.000
Cr: 0.500 0.500 0.500
Fe: 0.250 0.250 0.250

***

## BaPa2AgS8 (PBE)

Data for an optimized crystal structure of BaPa2AgS8.

Computed properties:
Space-group type = P-3m1, No. 164
Calculated volume = 23.1 A^3/atom
Spin magnetization = 0.00 μB/f.u.
Density = 5.8 g/cm3
Raw formation energy = -0.97 eV/atom

Lattice parameters (Å, degrees): 6.200 6.200 8.342 90.00 90.00 120.00
Atoms (fractional coordinates):
Ba: 0.000 0.000 0.000
Pa: 0.333 0.667 0.385
Pa: 0.667 0.333 0.615
Ag: 0.000 0.000 0.500
S: 0.183 0.366 0.669
S: 0.183 0.817 0.669
S: 0.333 0.667 0.090
S: 0.366 0.183 0.331
S: 0.634 0.817 0.669
S: 0.667 0.333 0.910
S: 0.817 0.183 0.331
S: 0.817 0.634 0.331

***

## FeHg2Pb (PBE)

Data for an optimized crystal structure of FeHg2Pb.

Computed properties:
Space-group type = R3m, No. 160
Uncorrected energy = -2.809 eV/atom
Calculated volume = 23.3 A^3/atom
Spin magnetization = 2.64 μB/f.u.
Density = 11.8 g/cm3

Lattice parameters (Å, degrees): 10.392 10.392 10.392 17.97 17.97 17.97
Atoms (fractional coordinates):
Fe: 0.000 0.000 0.000
Hg: 0.492 0.492 0.492
Hg: 0.734 0.734 0.734
Pb: 0.259 0.259 0.259

***

Number 3 is which compound?
FeHg2Pb